Mg3VO6 after structural relaxation. Source: Alexandria, functional GGA+U.

Cell and atoms, written as POSCAR:
```
Mg3VO6
1.0
0.9080 2.5257 4.3375
4.4491 -0.6052 2.4202
3.6019 4.1945 -0.1973
Mg V O
3 1 6
direct
0.3525 0.3525 0.9425
0.6455 0.6455 0.0635
0.1447 0.1447 0.5659
0.8553 0.8553 0.4341
0.9461 0.5839 0.2594
0.2106 0.9461 0.2594
0.5839 0.2106 0.2594
0.0475 0.4713 0.7386
0.7426 0.0475 0.7386
0.4713 0.7426 0.7386
```

Calculated total energy: -6.375 eV/atom